[1]
Ga2FeMo PBE-GGA relaxed; energy of formation = 0.105 eV per atom; DFT total energy = -6.23 eV per atom; space group = No. 225; calculated density = 8.492 g cm⁻³
1.0
6.107 0.000 0.000
0.000 6.107 0.000
0.000 0.000 6.107
Ga Fe Mo
8 4 4
Direct
0.250 0.250 0.250
0.250 0.250 0.750
0.250 0.750 0.250
0.250 0.750 0.750
0.750 0.250 0.250
0.750 0.250 0.750
0.750 0.750 0.250
0.750 0.750 0.750
0.000 0.000 0.000
0.000 0.500 0.500
0.500 0.000 0.500
0.500 0.500 0.000
0.000 0.000 0.500
0.000 0.500 0.000
0.500 0.000 0.000
0.500 0.500 0.500

=====

[2]
Ga2Fe2Mo PBE-GGA relaxed; energy of formation = 0.050 eV per atom; DFT total energy = -6.71 eV per atom; space group = No. 127; calculated density = 8.504 g cm⁻³
1.0
7.152 0.000 0.000
0.000 7.152 0.000
0.000 0.000 2.650
Ga Fe Mo
4 4 2
Direct
0.146 0.354 0.000
0.354 0.854 0.000
0.646 0.146 0.000
0.854 0.646 0.000
0.150 0.650 0.500
0.350 0.150 0.500
0.650 0.850 0.500
0.850 0.350 0.500
0.000 0.000 0.000
0.500 0.500 0.000

=====

[3]
GaFe3Mo PBE-GGA relaxed; energy of formation = 0.265 eV per atom; DFT total energy = -7.58 eV per atom; space group = No. 63; calculated density = 8.252 g cm⁻³
1.0
2.367 -6.417 0.000
2.367 6.417 0.000
0.000 0.000 4.415
Ga Fe Mo
2 6 2
Direct
0.079 0.921 0.750
0.921 0.079 0.250
0.107 0.381 0.750
0.381 0.107 0.250
0.500 0.500 0.000
0.500 0.500 0.500
0.619 0.893 0.750
0.893 0.619 0.250
0.302 0.698 0.250
0.698 0.302 0.750

=====

[4]
GaFeMo PBE-GGA relaxed; energy of formation = 0.065 eV per atom; DFT total energy = -7.38 eV per atom; space group = No. 216; calculated density = 8.077 g cm⁻³
1.0
5.669 0.000 0.000
0.000 5.669 0.000
0.000 0.000 5.669
Ga Fe Mo
4 4 4
Direct
0.000 0.000 0.000
0.000 0.500 0.500
0.500 0.000 0.500
0.500 0.500 0.000
0.250 0.250 0.750
0.250 0.750 0.250
0.750 0.250 0.250
0.750 0.750 0.750
0.000 0.000 0.500
0.000 0.500 0.000
0.500 0.000 0.000
0.500 0.500 0.500

=====

[5]
GaFeMo PBE-GGA relaxed; energy of formation = 0.004 eV per atom; DFT total energy = -7.44 eV per atom; space group = No. 187; calculated density = 9.079 g cm⁻³
1.0
4.133 0.000 0.000
-2.067 3.579 0.000
0.000 0.000 2.739
Ga Fe Mo
1 1 1
Direct
0.000 0.000 0.000
0.667 0.333 0.000
0.333 0.667 0.500

=====

[6]
GaFeMo PBE-GGA relaxed; energy of formation = 0.014 eV per atom; DFT total energy = -7.43 eV per atom; space group = No. 62; calculated density = 8.694 g cm⁻³
1.0
5.579 0.000 0.000
0.000 4.110 0.000
0.000 0.000 7.381
Ga Fe Mo
4 4 4
Direct
0.026 0.250 0.203
0.474 0.750 0.703
0.526 0.250 0.297
0.974 0.750 0.797
0.239 0.750 0.402
0.261 0.250 0.902
0.739 0.750 0.098
0.761 0.250 0.598
0.175 0.250 0.576
0.325 0.750 0.076
0.675 0.250 0.924
0.825 0.750 0.424